A plane-wave DFT calculation with PBE-GGA was carried out for a geometry-optimized CaLa14Mg structure.

```
CaLa14Mg
1.0
-6.070 -4.233 0.490
0.515 -1.577 -7.229
5.985 -8.322 2.243
La Ca Mg
14 1 1
direct
0.375 0.875 0.500
0.875 0.875 0.000
0.375 0.375 0.000
0.875 0.375 0.500
0.619 0.131 0.249
0.619 0.131 0.751
0.619 0.619 0.249
0.131 0.131 0.751
0.375 0.875 0.000
0.875 0.375 0.000
0.131 0.619 0.249
0.619 0.619 0.751
0.131 0.131 0.249
0.131 0.619 0.751
0.875 0.875 0.500
0.375 0.375 0.500
```

Energy of formation (meV/atom): 12
E_tot (eV per atom): -4.52